No. 1
Computed, not measured: a relaxed structure of SrZnCdAu2 at the PBE level of DFT.

Lattice parameters (Å, degrees): 4.327 4.327 7.015 107.96 107.96 90.00
Fractional positions:
Zn (0.750, 0.250, 0.500)
Au (0.610, 0.610, 0.220)
Sr (0.000, 0.000, 0.000)
Cd (0.250, 0.750, 0.500)
Au (0.390, 0.390, 0.780)

## Properties
The calculation puts the formation energy at -0.488 eV per atom.

---

No. 2
Computed, not measured: a relaxed structure of LaErZn2Ga2 at the PBE level of DFT.

Lattice parameters (Å, degrees): 4.459 4.459 7.527 90.00 90.00 120.00
Fractional positions:
La (0.000, 0.000, 0.000)
Zn (0.333, 0.667, 0.289)
Ga (0.667, 0.333, 0.275)
Er (0.000, 0.000, 0.500)
Ga (0.333, 0.667, 0.725)
Zn (0.667, 0.333, 0.711)

## Properties
The calculation puts the formation energy at -0.568 eV per atom.

---

No. 3
Computed, not measured: a relaxed structure of Si2TeN2 at the PBE level of DFT.

Lattice parameters (Å, degrees): 6.703 6.703 5.007 90.00 90.00 130.11
Fractional positions:
Si (0.445, 0.840, 0.864)
Te (0.761, 0.761, 0.964)
N (0.381, 0.856, 0.201)
Si (0.160, 0.555, 0.364)
N (0.856, 0.381, 0.201)
Te (0.239, 0.239, 0.464)
Si (0.840, 0.445, 0.864)
N (0.619, 0.144, 0.701)
N (0.144, 0.619, 0.701)
Si (0.555, 0.160, 0.364)

## Properties
The raw formation energy is -0.531 eV per atom.

---

No. 4
Computed, not measured: a relaxed structure of LaNiGe2 at the PBE level of DFT.

Lattice parameters (Å, degrees): 4.326 4.268 8.767 90.00 104.28 90.00
Fractional positions:
Ge (0.251, 0.250, 0.500)
Ge (0.458, 0.750, 0.914)
Ni (0.682, 0.250, 0.364)
Ni (0.318, 0.750, 0.636)
Ge (0.543, 0.250, 0.086)
La (0.108, 0.750, 0.218)
La (0.892, 0.250, 0.782)
Ge (0.749, 0.750, 0.500)

## Properties
The calculation puts the formation energy at -0.780 eV per atom.